Ba2FeW: relaxed, PBE-GGA.

Geometry as POSCAR:
```
Ba2FeW
1.0
-0.7542 -4.6372 -3.1519
1.5850 -3.2269 4.3682
-3.6259 -0.2028 1.1659
Ba W Fe
2 1 1
Cartesian
0.4154 -3.9320 0.6081
0.0000 0.0000 0.0000
-1.0204 -1.7148 2.7671
-2.1900 -2.4200 -0.9930
```

Values from the calculation:
SG   No. 123
Magnetic moment   5.70 μB per formula unit
Formation energy   1504.6 meV/atom

LuScSiRh: relaxed, PBE-GGA.

Geometry as POSCAR:
```
LuScSiRh
1.0
-2.8674 -3.7442 -0.0356
0.5646 -3.3717 -3.2488
1.6402 -4.2383 1.2605
Lu Sc Si Rh
1 1 1 1
Cartesian
-0.3313 -5.6771 -1.0119
0.0000 0.0000 0.0000
-0.4970 -8.5156 -1.5179
-0.1657 -2.8385 -0.5060
```

Values from the calculation:
SG   No. 216
Raw formation energy   -0.74 eV/atom
Magnetic moment   0.00 μB per formula unit

LiSmTlBi: relaxed, PBE-GGA.

Geometry as POSCAR:
```
LiSmTlBi
1.0
-2.6060 0.5864 4.6630
0.7184 -3.5748 3.9476
2.7014 1.3964 4.4307
Sm Bi Li Tl
1 1 1 1
Cartesian
0.2034 -0.3980 3.2603
0.4069 -0.7960 6.5206
0.6103 -1.1940 9.7809
0.0000 0.0000 0.0000
```

Values from the calculation:
SG   No. 216
Magnetic moment   0.00 μB per formula unit
Formation energy   -366.7 meV/atom

CsZrI3: relaxed, PBE-GGA.

Geometry as POSCAR:
```
CsZrI3
1.0
-5.4684 -3.1694 8.0448
1.6476 -3.7763 9.3644
-1.5732 2.7227 9.7355
Zr I Cs
2 6 2
Cartesian
-4.4902 -3.5154 22.5966
-0.9038 -0.7076 4.5482
-1.9898 -4.5451 15.1432
-5.3958 -2.1474 14.8394
-3.6748 -3.7873 11.3085
0.0018 -2.0756 12.3054
-3.4041 0.3221 12.0016
-1.7191 -0.4356 15.8363
-1.7870 -1.3990 8.9928
-3.6070 -2.8239 18.1519
```

Values from the calculation:
SG   No. 148
Raw formation energy   -0.85 eV/atom
Magnetic moment   1.00 μB per formula unit

SrLa2Os: relaxed, PBE-GGA.

Geometry as POSCAR:
```
SrLa2Os
1.0
8.4113 0.0000 0.0000
0.0000 8.4113 0.0000
4.2056 4.2056 5.9546
La Os Sr
4 2 2
Cartesian
8.4098 6.3085 1.4886
8.4128 2.1028 1.4886
6.3085 4.2042 4.4659
10.5141 4.2071 4.4659
8.4113 4.2056 2.9773
0.0000 0.0000 0.0000
4.2056 8.4113 2.9773
4.2056 4.2056 0.0000
```

Values from the calculation:
SG   No. 227
Magnetic moment   0.00 μB per formula unit
Formation energy   351.2 meV/atom

Ti2SnAu2: relaxed, PBE-GGA.

Geometry as POSCAR:
```
Ti2SnAu2
1.0
4.2056 0.0000 0.0000
0.0000 4.2056 0.0000
2.1028 2.1028 5.9097
Ti Au Sn
2 2 1
Cartesian
2.1028 4.2056 2.9549
4.2056 2.1028 2.9549
4.2056 4.2056 4.5867
2.1028 2.1028 1.3230
0.0000 0.0000 0.0000
```

Values from the calculation:
SG   No. 139
Magnetic moment   0.00 μB per formula unit
Formation energy   -43.9 meV/atom

RbNpTlBr6: relaxed, PBE-GGA.

Geometry as POSCAR:
```
RbNpTlBr6
1.0
-3.6402 7.4394 0.3143
-0.0582 -4.3473 -7.0563
-11.0763 -5.5686 3.5221
Br Np Rb Tl
12 2 2 2
Cartesian
-11.9667 -4.3932 -3.3394
-9.9547 -7.3333 -1.6605
-10.8931 -4.1375 0.4413
-6.6072 2.6593 1.0861
-7.5942 2.2264 -2.7020
-8.1675 -5.1358 -4.3061
-9.1939 -1.8663 -2.3649
-3.8816 1.6610 -3.6613
-5.5808 -0.6102 -0.8551
-2.8079 1.9167 0.1194
-4.8200 4.8569 -1.5595
-7.1805 -4.7029 -0.5180
-9.5594 -4.5948 -1.9579
-5.2153 2.1184 -1.2621
-4.0213 -1.8106 -3.7190
-10.7534 -0.6659 0.4990
0.0000 0.0000 0.0000
-5.5381 -2.7843 1.7610
```

Values from the calculation:
SG   No. 163
Raw formation energy   -1.30 eV/atom
Magnetic moment   3.00 μB per formula unit

BaAc2Pd: relaxed, PBE-GGA.

Geometry as POSCAR:
```
BaAc2Pd
1.0
4.4111 0.0000 0.0000
2.2055 3.8201 0.0000
2.2055 1.2734 10.5799
Ba Ac Pd
1 2 1
Cartesian
4.4111 2.5467 5.2899
2.2055 1.2734 1.6868
6.6166 3.8201 8.8931
0.0000 0.0000 0.0000
```

Values from the calculation:
SG   No. 166
Magnetic moment   0.00 μB per formula unit
Formation energy   -352.5 meV/atom

TaAl5Ir6: relaxed, PBE-GGA.

Geometry as POSCAR:
```
TaAl5Ir6
1.0
3.9892 0.0154 -1.1633
-0.9119 5.8547 -3.0494
-0.0178 0.0386 7.3608
Al Ir Ta
5 6 1
Cartesian
-0.4560 2.9273 -1.5247
1.0093 1.9734 3.4870
2.5037 1.0033 1.1774
0.5557 4.9055 1.9706
2.0502 3.9353 -0.3390
-0.1709 5.3626 -0.5149
1.7578 1.5280 -1.3735
3.2303 0.5461 3.6629
1.3194 4.3421 -2.8393
0.2776 2.4837 0.9846
2.7819 3.4250 2.1634
0.0000 0.0000 0.0000
```

Values from the calculation:
SG   No. 71
Magnetic moment   0.00 μB per formula unit
Formation energy   -845.6 meV/atom